The following is a PBE calculation of an optimized crystal structure of LiTlZnGa, from Alexandria via LeMat-Bulk.

Computed properties:
Energy of formation from the pure elements = -0.043 eV per atom
Final energy = -2.19 eV/atom
Magnetization = 0.00 μB per formula unit

Cell lengths 4.816, 4.816, 4.816 Å; angles 60.00, 60.00, 60.00 degrees
Positions (direct):
1 Li 0.750 0.750 0.750
2 Zn 0.250 0.250 0.250
3 Ga 0.000 0.000 0.000
4 Tl 0.500 0.500 0.500

=====

The following is a PBE calculation of an optimized crystal structure of PmHoAg6, from Alexandria via LeMat-Bulk.

Computed properties:
Energy of formation from the pure elements = -0.198 eV per atom
Final energy = -3.50 eV/atom
Magnetization = 0.00 μB per formula unit

Cell lengths 4.564, 5.190, 8.280 Å; angles 81.27, 74.00, 63.91 degrees
Positions (direct):
1 Pm 0.000 0.500 0.500
2 Ag 0.253 0.376 0.119
3 Ag 0.504 0.239 0.752
4 Ag 0.752 0.130 0.367
5 Ag 0.496 0.761 0.248
6 Ag 0.248 0.870 0.633
7 Ag 0.747 0.624 0.881
8 Ho 0.000 0.000 0.000

=====

The following is a PBE calculation of an optimized crystal structure of RbNpO2, from Alexandria via LeMat-Bulk.

Computed properties:
Final energy = -8.09 eV/atom
Magnetization = 3.99 μB per formula unit
ΔE_f (raw) = -8.54 eV/f.u.

Cell lengths 3.575, 3.575, 7.022 Å; angles 75.25, 75.25, 60.00 degrees
Site moments in Bohr magnetons follow the coordinates.
Positions (direct):
1 O 0.277 0.277 0.170  -0.08
2 O 0.060 0.060 0.821  -0.09
3 Rb 0.496 0.496 0.511  0.02
4 Np 0.667 0.667 0.998  3.84